[1]
Material: AcTl2RuO6
Method: DFT, PBE-GGA
State: optimized geometry

```
data_AcTl2RuO6
_cell_length_a 5.921
_cell_length_b 6.127
_cell_length_c 10.365
_cell_angle_alpha 90.00
_cell_angle_beta 124.77
_cell_angle_gamma 90.00
_space_group_name_H-M_alt 'P 1 21/c 1'
_space_group_IT_number 14
_space_group_name_Hall '-P 2ybc'
loop_
_atom_site_label
_atom_site_type_symbol
_atom_site_fract_x
_atom_site_fract_y
_atom_site_fract_z
_atom_site_occupancy
Ac1 Ac 0.000 0.000 0.000 1
Tl1 Tl 0.249 0.032 0.739 1
Ru1 Ru 0.500 0.000 0.500 1
O1 O 0.179 0.056 0.285 1
O2 O 0.276 0.674 0.045 1
O3 O 0.403 0.240 0.070 1
```

Computed properties:
The uncorrected formation energy comes out at -1.388 eV per atom. The calculation puts the density of states at the Fermi level at 3.4 states/eV/f.u. For the total energy, the calculation gives -6.175 eV per atom.



[2]
Material: TbDy2Lu
Method: DFT, PBE-GGA
State: optimized geometry

```
data_TbDy2Lu
_cell_length_a 3.516
_cell_length_b 3.516
_cell_length_c 9.964
_cell_angle_alpha 90.00
_cell_angle_beta 90.00
_cell_angle_gamma 90.00
_space_group_name_H-M_alt 'P 4/m m m'
_space_group_IT_number 123
_space_group_name_Hall '-P 4 2'
loop_
_atom_site_label
_atom_site_type_symbol
_atom_site_fract_x
_atom_site_fract_y
_atom_site_fract_z
_atom_site_occupancy
Tb1 Tb 0.000 0.000 0.000 1
Dy1 Dy 0.500 0.500 0.253 1
Lu1 Lu 0.000 0.000 0.500 1
```

Computed properties:
The value obtained for the formation energy from the elements is 0.024 eV/atom. For the energy above the most stable polymorph in this dataset, the calculation gives 0 meV per atom. The calculation puts the density of states at the Fermi level at 5.3 states/eV/f.u. For the total energy, the calculation gives -4.565 eV per atom.